w:
First-principles (GGA+U) data for a geometry-optimized LiVF3 structure, as listed in Alexandria via LeMat-Bulk.

The value obtained for the calculated volume is 348.1 Å³ per cell. The density of states at the Fermi level comes out at 0.000 states/eV per atom. The value obtained for the total magnetic moment is 0.600 μB per atom. For the density, the calculation gives 3.29 Mg/m³.

It has space group R3c (No. 161, hexagonal axes), with a = 5.2771 Å, b = 5.2771 Å, c = 14.4335 Å, α = 90.00°, β = 90.00° and γ = 120.00°. The inequivalent atoms are Li at (0.0000, 0.0000, 0.0000), V at (0.0000, 0.0000, 0.2918) and F at (0.0225, 0.3520, 0.0507).

x:
First-principles (GGA+U) data for a geometry-optimized LiVF3 structure, as listed in Alexandria via LeMat-Bulk.

The value obtained for the calculated volume is 503.9 Å³ per cell. The density of states at the Fermi level comes out at 0.000 states/eV per atom. The value obtained for the total magnetic moment is 0.600 μB per atom. For the density, the calculation gives 3.03 Mg/m³.

It has space group C2/c (No. 15), with a = 12.182 Å, b = 7.715 Å, c = 5.855 Å, α = 90.00°, β = 113.69° and γ = 90.00°. The inequivalent atoms are Li at (0.000, 0.062, 0.250), Li at (0.000, 0.313, 0.750), V at (0.249, 0.411, 0.307), F at (0.070, 0.145, 0.616), F at (0.134, 0.450, 0.930) and F at (0.182, 0.153, 0.294).

Stability ranking, top entry: w; the second entry is 0.081 eV/atom less favorable.

w:
First-principles (GGA+U) data for a geometry-optimized LiVF3 structure, as listed in Alexandria via LeMat-Bulk.

The value obtained for the calculated volume is 1028.9 Å³ per cell. The density of states at the Fermi level comes out at 0.000 states/eV per atom. The value obtained for the total magnetic moment is 0.600 μB per atom. For the density, the calculation gives 2.97 Mg/m³.

It has space group Pbca (No. 61), with a = 5.711 Å, b = 19.231 Å, c = 9.369 Å, α = 90.00°, β = 90.00° and γ = 90.00°. The inequivalent atoms are Li at (0.051, 0.224, 0.172), Li at (0.169, 0.538, 0.331), V at (0.167, 0.620, 0.657), V at (0.175, 0.621, 0.021), F at (0.001, 0.174, 0.664), F at (0.009, 0.177, 0.995), F at (0.131, 0.695, 0.179), F at (0.155, 0.056, 0.166), F at (0.156, 0.070, 0.490) and F at (0.169, 0.066, 0.834).

x:
First-principles (GGA+U) data for a geometry-optimized LiVF3 structure, as listed in Alexandria via LeMat-Bulk.

The value obtained for the calculated volume is 350.6 Å³ per cell. The density of states at the Fermi level comes out at 0.000 states/eV per atom. The value obtained for the total magnetic moment is 0.600 μB per atom. For the density, the calculation gives 3.26 Mg/m³.

It has space group R-3 (No. 148, hexagonal axes), with a = 5.3387 Å, b = 5.3387 Å, c = 14.2056 Å, α = 90.00°, β = 90.00° and γ = 120.00°. The inequivalent atoms are Li at (0.0000, 0.0000, 0.1388), V at (0.0000, 0.0000, 0.3445) and F at (0.0038, 0.6926, 0.7497).

Stability ranking, top entry: x; the second entry is 0.008 eV/atom less favorable.

w:
First-principles (GGA+U) data for a geometry-optimized Li4VF7 structure, as listed in Alexandria via LeMat-Bulk.

The value obtained for the calculated volume is 590.7 Å³ per cell. The density of states at the Fermi level comes out at 0.000 states/eV per atom. The value obtained for the total magnetic moment is 0.167 μB per atom. For the density, the calculation gives 2.38 Mg/m³.

It has space group C2/c (No. 15), with a = 12.619 Å, b = 8.712 Å, c = 5.509 Å, α = 90.00°, β = 102.71° and γ = 90.00°. The inequivalent atoms are Li at (0.131, 0.060, 0.228), Li at (0.159, 0.397, 0.344), V at (0.000, 0.274, 0.750), F at (0.000, 0.055, 0.750), F at (0.092, 0.259, 0.094), F at (0.101, 0.409, 0.650) and F at (0.193, 0.088, 0.561).

x:
First-principles (GGA+U) data for a geometry-optimized Li4VF7 structure, as listed in Alexandria via LeMat-Bulk.

The value obtained for the calculated volume is 604.2 Å³ per cell. The density of states at the Fermi level comes out at 0.896 states/eV per atom. The value obtained for the total magnetic moment is 0.167 μB per atom. For the density, the calculation gives 2.33 Mg/m³.

It has space group F-43m (No. 216), with a = 8.454 Å, b = 8.454 Å, c = 8.454 Å, α = 90.00°, β = 90.00° and γ = 90.00°. The inequivalent atoms are Li at (0.124, 0.124, 0.124), V at (0.250, 0.250, 0.750), F at (0.000, 0.000, 0.000) and F at (0.013, 0.250, 0.750).

Stability ranking, top entry: w; the second entry is 0.005 eV/atom less favorable.

w:
First-principles (GGA+U) data for a geometry-optimized Li2VF4 structure, as listed in Alexandria via LeMat-Bulk.

The value obtained for the calculated volume is 317.6 Å³ per cell. The density of states at the Fermi level comes out at 0.000 states/eV per atom. The value obtained for the total magnetic moment is 0.429 μB per atom. For the density, the calculation gives 2.94 Mg/m³.

It has space group P4_122 (No. 91), with a = 6.082 Å, b = 6.082 Å, c = 8.587 Å, α = 90.00°, β = 90.00° and γ = 90.00°. The inequivalent atoms are Li at (0.000, 0.217, 0.000), Li at (0.248, 0.248, 0.375), V at (0.233, 0.500, 0.750), F at (0.002, 0.246, 0.761) and F at (0.248, 0.479, 0.996).

x:
First-principles (GGA+U) data for a geometry-optimized Li2VF4 structure, as listed in Alexandria via LeMat-Bulk.

The value obtained for the calculated volume is 155.6 Å³ per cell. The density of states at the Fermi level comes out at 0.000 states/eV per atom. The value obtained for the total magnetic moment is 0.429 μB per atom. For the density, the calculation gives 3.00 Mg/m³.

It has space group I4/mmm (No. 139), with a = 4.163 Å, b = 4.163 Å, c = 8.981 Å, α = 90.00°, β = 90.00° and γ = 90.00°. The inequivalent atoms are Li at (0.000, 0.500, 0.250), V at (0.000, 0.000, 0.000), F at (0.000, 0.000, 0.234) and F at (0.000, 0.500, 0.000).

Stability ranking, top entry: w; the second entry is 0.045 eV/atom less favorable.